1.
Material: Er2Zn12Au7
Method: DFT, GGA-PBE
State: optimized geometry

Values from the calculation:
volume	18.386	A^3/atom
total magnetization	0.000	μB/f.u.
energy relative to the elements	-0.322	eV/atom

Cell lengths 10.490, 10.490, 4.051 Å; angles 90.00, 90.00, 120.00 degrees
Sites, in units of the cell vectors:
Er (0.333, 0.667, 0.248)
Er (0.667, 0.333, 0.752)
Zn (0.037, 0.430, 0.750)
Zn (0.108, 0.265, 0.243)
Zn (0.157, 0.892, 0.243)
Zn (0.265, 0.157, 0.757)
Zn (0.393, 0.963, 0.750)
Zn (0.430, 0.393, 0.250)
Zn (0.570, 0.607, 0.750)
Zn (0.607, 0.037, 0.250)
Zn (0.735, 0.843, 0.243)
Zn (0.843, 0.108, 0.757)
Zn (0.892, 0.735, 0.757)
Zn (0.963, 0.570, 0.250)
Au (0.000, 0.000, 0.500)
Au (0.143, 0.717, 0.749)
Au (0.283, 0.426, 0.749)
Au (0.426, 0.143, 0.251)
Au (0.574, 0.857, 0.749)
Au (0.717, 0.574, 0.251)
Au (0.857, 0.283, 0.251)

2.
Material: Sc6Te3PS2
Method: DFT, GGA-PBE
State: optimized geometry

Values from the calculation:
energy relative to the elements, uncorrected	-1.481	eV/atom
volume	21.587	A^3/atom
total magnetization	0.000	μB/f.u.

Cell lengths 6.723, 6.723, 6.987 Å; angles 99.24, 99.24, 119.99 degrees
Sites, in units of the cell vectors:
Sc (0.067, 0.396, 0.200)
Sc (0.262, 0.262, 0.799)
Sc (0.396, 0.067, 0.200)
Sc (0.604, 0.933, 0.800)
Sc (0.738, 0.738, 0.201)
Sc (0.933, 0.604, 0.800)
Te (0.168, 0.832, 0.500)
Te (0.500, 0.500, 0.500)
Te (0.832, 0.168, 0.500)
P (0.000, 0.000, 0.000)
S (0.334, 0.666, 0.000)
S (0.666, 0.334, 0.000)

3.
Material: Ce2MgAl3Ag4
Method: DFT, GGA-PBE
State: optimized geometry

Values from the calculation:
volume	21.515	A^3/atom
total magnetization	2.168	μB/f.u.
energy relative to the elements	-0.230	eV/atom

Cell lengths 4.447, 4.447, 10.877 Å; angles 90.00, 90.00, 90.00 degrees
Sites, in units of the cell vectors:
Ce (0.000, 0.500, 0.241)
Ce (0.500, 0.000, 0.759)
Mg (0.000, 0.000, 0.500)
Al (0.000, 0.500, 0.869)
Al (0.500, 0.000, 0.131)
Al (0.500, 0.500, 0.500)
Ag (0.000, 0.000, 0.000)
Ag (0.000, 0.500, 0.637)
Ag (0.500, 0.000, 0.363)
Ag (0.500, 0.500, 0.000)